Density functional theory data (GGA-PBE) for an optimized crystal structure of Er2GaSn.

## Properties
DOS(E_F) in states/eV per cell: 2.53

```
data_Er2GaSn
_symmetry_space_group_name_H-M 'P 4/m m m'
_symmetry_Int_Tables_number 123
_symmetry_space_group_name_Hall '-P 4 2'
_cell_length_a 4.817
_cell_length_b 4.817
_cell_length_c 4.183
_cell_angle_alpha 90.00
_cell_angle_beta 90.00
_cell_angle_gamma 90.00
loop_
_atom_site_label
_atom_site_type_symbol
_atom_site_fract_x
_atom_site_fract_y
_atom_site_fract_z
Er1 Er 0.000 0.500 0.000
Ga1 Ga 0.000 0.000 0.500
Sn1 Sn 0.500 0.500 0.500
```

Density functional theory data (GGA-PBE) for an optimized crystal structure of Er2GaSn.

## Properties
DOS(E_F) in states/eV per cell: 6.03

```
data_Er2GaSn
_symmetry_space_group_name_H-M 'P 1 21/m 1'
_symmetry_Int_Tables_number 11
_cell_length_a 5.955
_cell_length_b 4.123
_cell_length_c 8.608
_cell_angle_alpha 90.00
_cell_angle_beta 107.87
_cell_angle_gamma 90.00
loop_
_symmetry_equiv_pos_as_xyz
'x,y,z'
'-x,-y,-z'
'-x,y+1/2,-z'
'x,-y+1/2,z'
loop_
_atom_site_label
_atom_site_type_symbol
_atom_site_fract_x
_atom_site_fract_y
_atom_site_fract_z
Er1 Er 0.197 0.250 0.425
Er2 Er 0.280 0.750 0.063
Ga1 Ga 0.120 0.250 0.793
Sn1 Sn 0.377 0.750 0.710
```

Density functional theory data (GGA-PBE) for an optimized crystal structure of Er2Ga9Sn.

## Properties
DOS(E_F) in states/eV per cell: 4.58

```
data_Er2Ga9Sn
_symmetry_space_group_name_H-M 'P 4/m m m'
_symmetry_Int_Tables_number 123
_symmetry_space_group_name_Hall '-P 4 2'
_cell_length_a 4.258
_cell_length_b 4.258
_cell_length_c 13.176
_cell_angle_alpha 90.00
_cell_angle_beta 90.00
_cell_angle_gamma 90.00
loop_
_atom_site_label
_atom_site_type_symbol
_atom_site_fract_x
_atom_site_fract_y
_atom_site_fract_z
Er1 Er 0.000 0.000 0.160
Ga1 Ga 0.000 0.500 0.000
Ga2 Ga 0.000 0.500 0.327
Ga3 Ga 0.500 0.500 0.161
Ga4 Ga 0.500 0.500 0.500
Sn1 Sn 0.000 0.000 0.500
```

Density functional theory data (GGA-PBE) for an optimized crystal structure of ErGaSn3.

## Properties
DOS(E_F) in states/eV per cell: 8.49

```
data_ErGaSn3
_symmetry_space_group_name_H-M 'P b c m'
_symmetry_Int_Tables_number 57
_cell_length_a 12.522
_cell_length_b 6.246
_cell_length_c 6.367
_cell_angle_alpha 90.00
_cell_angle_beta 90.00
_cell_angle_gamma 90.00
loop_
_symmetry_equiv_pos_as_xyz
'x,y,z'
'-x,-y,-z'
'-x,-y,z+1/2'
'x,y,-z+1/2'
'x,-y+1/2,-z'
'-x,y+1/2,z'
'-x,y+1/2,-z+1/2'
'x,-y+1/2,z+1/2'
loop_
_atom_site_label
_atom_site_type_symbol
_atom_site_fract_x
_atom_site_fract_y
_atom_site_fract_z
Er1 Er 0.196 0.019 0.250
Ga1 Ga 0.378 0.250 0.000
Sn1 Sn 0.001 0.750 0.000
Sn2 Sn 0.232 0.524 0.250
Sn3 Sn 0.434 0.652 0.750
```

Number 1: electronic total energy -4.60 eV/atom. Number 2: electronic total energy -4.72 eV/atom. Number 3: electronic total energy -3.65 eV/atom. Number 4: electronic total energy -4.21 eV/atom.